[1]
Density functional theory data (meta-GGA SCAN) for a PBEsol-optimized structure of Tb2Nb3Ge4.

Cell lengths 6.9489, 7.1238, 13.4457 Å; angles 90.00, 90.00, 90.00 degrees
Last column: nearest neighbours and their distance in Å.
Fractional positions:
Tb: 0.5024 0.6732 0.0951  7 Ge 2.83-3.06
Tb: 0.0024 0.8268 0.4049  7 Ge 2.83-3.06
Tb: 0.4976 0.3268 0.5951  7 Ge 2.83-3.06
Tb: 0.9976 0.1732 0.9049  7 Ge 2.83-3.06
Tb: 0.4976 0.3268 0.9049  7 Ge 2.83-3.06
Tb: 0.9976 0.1732 0.5951  7 Ge 2.83-3.06
Tb: 0.5024 0.6732 0.4049  7 Ge 2.83-3.06
Tb: 0.0024 0.8268 0.0951  7 Ge 2.83-3.06
Nb: 0.3356 0.9879 0.7500  6 Ge 2.72-2.84, 2 Nb 3.02
Nb: 0.8356 0.5121 0.7500  6 Ge 2.72-2.84, 2 Nb 3.02
Nb: 0.6644 0.0121 0.2500  6 Ge 2.72-2.84, 2 Nb 3.02
Nb: 0.1644 0.4879 0.2500  6 Ge 2.72-2.84, 2 Nb 3.02
Nb: 0.1599 0.6715 0.6268  6 Ge 2.62-2.76
Nb: 0.6599 0.8285 0.8732  6 Ge 2.62-2.76
Nb: 0.8401 0.3285 0.1268  6 Ge 2.62-2.76
Nb: 0.3401 0.1715 0.3732  6 Ge 2.62-2.76
Nb: 0.8401 0.3285 0.3732  6 Ge 2.62-2.76
Nb: 0.3401 0.1715 0.1268  6 Ge 2.62-2.76
Nb: 0.1599 0.6715 0.8732  6 Ge 2.62-2.76
Nb: 0.6599 0.8285 0.6268  6 Ge 2.62-2.76
Ge: 0.1953 0.3627 0.7500  1 Ge 2.60, 4 Nb 2.72-2.84, 2 Tb 2.84
Ge: 0.6953 0.1373 0.7500  1 Ge 2.60, 4 Nb 2.72-2.84, 2 Tb 2.84
Ge: 0.8047 0.6373 0.2500  1 Ge 2.60, 4 Nb 2.72-2.84, 2 Tb 2.84
Ge: 0.3047 0.8627 0.2500  1 Ge 2.60, 4 Nb 2.72-2.84, 2 Tb 2.84
Ge: 0.4605 0.6211 0.7500  1 Ge 2.60, 6 Nb 2.62-2.75
Ge: 0.9605 0.8789 0.7500  1 Ge 2.60, 6 Nb 2.62-2.75
Ge: 0.5395 0.3789 0.2500  1 Ge 2.60, 6 Nb 2.62-2.75
Ge: 0.0395 0.1211 0.2500  1 Ge 2.60, 6 Nb 2.62-2.75
Ge: 0.3268 0.9612 0.5417  4 Nb 2.63-2.81, 1 Ge 2.71, 1 Tb 2.83
Ge: 0.8268 0.5388 0.9583  4 Nb 2.63-2.81, 1 Ge 2.71, 1 Tb 2.83
Ge: 0.6732 0.0388 0.0417  4 Nb 2.63-2.81, 1 Ge 2.71, 1 Tb 2.83
Ge: 0.1732 0.4612 0.4583  4 Nb 2.63-2.81, 1 Ge 2.71, 1 Tb 2.83
Ge: 0.6732 0.0388 0.4583  4 Nb 2.63-2.81, 1 Ge 2.71, 1 Tb 2.83
Ge: 0.1732 0.4612 0.0417  4 Nb 2.63-2.81, 1 Ge 2.71, 1 Tb 2.83
Ge: 0.3268 0.9612 0.9583  4 Nb 2.63-2.81, 1 Ge 2.71, 1 Tb 2.83
Ge: 0.8268 0.5388 0.5417  4 Nb 2.63-2.81, 1 Ge 2.71, 1 Tb 2.83

Summary:
Magnetic moment ... 0.000 μB per atom
Energy of formation from the pure elements ... -0.846 eV/atom
DOS(E_F) ... 12.06 states/eV per cell

[2]
Density functional theory data (meta-GGA SCAN) for a PBEsol-optimized structure of Ba2ZrMo.

Cell lengths 3.5518, 6.0410, 6.8068 Å; angles 116.34, 105.12, 90.00 degrees
Last column: nearest neighbours and their distance in Å.
Fractional positions:
Ba: 0.9844 0.9844 0.9688  6 Ba 3.55-3.96, 4 Mo 3.56, 4 Zr 3.85-3.88
Ba: 0.7875 0.2875 0.5750  2 Mo 3.44, 4 Ba 3.55-3.80, 4 Zr 3.69
Mo: 0.5396 0.5396 0.0793  2 Zr 2.48
Zr: 0.1884 0.6884 0.3769  2 Mo 2.48

Summary:
Magnetic moment ... 0.000 μB per atom
Energy of formation from the pure elements ... 0.775 eV/atom
DOS(E_F) ... 4.83 states/eV per cell

[3]
Density functional theory data (meta-GGA SCAN) for a PBEsol-optimized structure of YSc2Ru2.

Cell lengths 3.2457, 7.5878, 7.5878 Å; angles 90.00, 90.00, 90.00 degrees
Last column: nearest neighbours and their distance in Å.
Fractional positions:
Y: 0.0000 0.0000 0.0000  4 Ru 2.87
Y: 0.0000 0.5000 0.5000  4 Ru 2.87
Ru: 0.0000 0.3460 0.8460  6 Sc 2.72-2.78, 2 Y 2.87
Ru: 0.0000 0.8460 0.6540  6 Sc 2.72-2.78, 2 Y 2.87
Ru: 0.0000 0.6540 0.1540  6 Sc 2.72-2.78, 2 Y 2.87
Ru: 0.0000 0.1540 0.3460  6 Sc 2.72-2.78, 2 Y 2.87
Sc: 0.5000 0.1424 0.6424  6 Ru 2.72-2.78
Sc: 0.5000 0.6424 0.8576  6 Ru 2.72-2.78
Sc: 0.5000 0.8576 0.3576  6 Ru 2.72-2.78
Sc: 0.5000 0.3576 0.1424  6 Ru 2.72-2.78

Summary:
Magnetic moment ... 0.000 μB per atom
Energy of formation from the pure elements ... -0.462 eV/atom
DOS(E_F) ... 4.19 states/eV per cell

[4]
Density functional theory data (meta-GGA SCAN) for a PBEsol-optimized structure of TlAg2Te2.

Cell lengths 4.5229, 4.5229, 7.1460 Å; angles 108.45, 108.45, 90.00 degrees
Last column: nearest neighbours and their distance in Å.
Fractional positions:
Tl: 0.0000 0.0000 0.0000  8 Ag 3.46
Te: 0.2500 0.7500 0.5000  4 Ag 2.94, 4 Te 3.20
Te: 0.7500 0.2500 0.5000  4 Ag 2.94, 4 Te 3.20
Ag: 0.3969 0.3969 0.7939  1 Ag 2.63, 4 Te 2.94
Ag: 0.6031 0.6031 0.2061  1 Ag 2.63, 4 Te 2.94

Summary:
Magnetic moment ... 0.000 μB per atom
Offset from the most stable computed form ... 274 meV per atom
DOS(E_F) ... 2.19 states/eV per cell
Formation energy from raw total energies ... 0.136 eV per atom

[5]
Density functional theory data (meta-GGA SCAN) for a PBEsol-optimized structure of LiAl2.

Cell lengths 2.8459, 4.0475, 4.8650 Å; angles 114.58, 107.01, 90.00 degrees
Last column: nearest neighbours and their distance in Å.
Fractional positions:
Al: 0.6701 0.6701 0.3403  5 Li 2.76-2.86, 7 Al 2.81-2.85
Al: 0.3299 0.3299 0.6597  5 Li 2.76-2.86, 7 Al 2.81-2.85
Li: 0.0000 0.0000 0.0000  10 Al 2.76-2.86, 2 Li 2.85

Summary:
Magnetic moment ... 0.012 μB per atom
Energy of formation from the pure elements ... -0.068 eV/atom
Offset from the most stable computed form ... 24 meV per atom
DOS(E_F) ... 1.00 states/eV per cell

[6]
Density functional theory data (meta-GGA SCAN) for a PBEsol-optimized structure of CdOs.

Cell lengths 3.7859, 3.7859, 3.7859 Å; angles 60.00, 60.00, 60.00 degrees
Last column: nearest neighbours and their distance in Å.
Fractional positions:
Os: 0.5000 0.5000 0.5000  6 Cd 2.68
Cd: 0.0000 0.0000 0.0000  6 Os 2.68

Summary:
Magnetic moment ... 1.050 μB per atom
Energy of formation from the pure elements ... 1.847 eV/atom
DOS(E_F) ... 0.74 states/eV per cell

[7]
Density functional theory data (meta-GGA SCAN) for a PBEsol-optimized structure of BeRe2Mo.

Cell lengths 2.6298, 4.2264, 5.0109 Å; angles 90.00, 99.45, 90.00 degrees
Last column: nearest neighbours and their distance in Å.
Fractional positions:
Re: 0.7602 0.0000 0.7629  4 Re 2.50-2.76, 2 Be 2.57, 2 Mo 2.62
Re: 0.2398 0.0000 0.2371  4 Re 2.50-2.76, 2 Be 2.57, 2 Mo 2.62
Mo: 0.0000 0.5000 0.5000  4 Re 2.62, 2 Mo 2.63, 2 Be 2.63
Be: 0.5000 0.5000 0.0000  4 Re 2.57, 2 Be 2.63, 2 Mo 2.63

Summary:
Magnetic moment ... 0.000 μB per atom
Energy of formation from the pure elements ... 0.035 eV/atom
DOS(E_F) ... 2.39 states/eV per cell

[8]
Density functional theory data (meta-GGA SCAN) for a PBEsol-optimized structure of Co2SbRh.

Cell lengths 3.1983, 3.1983, 5.2385 Å; angles 90.00, 90.00, 90.00 degrees
Last column: nearest neighbours and their distance in Å.
Fractional positions:
Sb: 0.5000 0.5000 0.5000  2 Rh 2.62, 8 Co 2.65
Rh: 0.5000 0.5000 0.0000  8 Co 2.57, 2 Sb 2.62
Co: 0.0000 0.0000 0.7653  1 Co 2.46, 4 Rh 2.57, 4 Sb 2.65
Co: 0.0000 0.0000 0.2347  1 Co 2.46, 4 Rh 2.57, 4 Sb 2.65

Summary:
Magnetic moment ... 0.002 μB per atom
DOS(E_F) ... 3.72 states/eV per cell
Formation energy from raw total energies ... 0.382 eV per atom